# PBE DyCu3, relaxed
# DFT total energy = -4.22 eV per atom
# Calculated formation energy = 0.0021 eV/atom
data_DyCu3
_chemical_formula_sum 'Dy1 Cu3'
_cell_length_a 3.6265
_cell_length_b 3.6265
_cell_length_c 5.3112
_cell_angle_alpha 90.00
_cell_angle_beta 90.00
_cell_angle_gamma 90.00
_symmetry_space_group_name_H-M 'P 4 m m'
_symmetry_Int_Tables_number 99
loop_
_symmetry_equiv_pos_as_xyz
'x,y,z'
'-y,x,z'
'-x,-y,z'
'y,-x,z'
'-x,y,z'
'y,x,z'
'x,-y,z'
'-y,-x,z'
loop_
_atom_site_label
_atom_site_fract_x
_atom_site_fract_y
_atom_site_fract_z
Dy1 0.0000 0.0000 0.0000
Cu1 0.0000 0.5000 0.5559
Cu2 0.5000 0.5000 0.2447